VASP calculation (PBE) on an optimized crystal structure of Ac3Al4Sn2.

a = 6.588 Å, b = 6.588 Å, c = 9.236 Å
α = 99.06°, β = 99.06°, γ = 40.63°
Sites, in units of the cell vectors:
Ac  0.000  0.000  0.000
Ac  0.335  0.335  0.330
Ac  0.665  0.665  0.670
Al  0.048  0.048  0.389
Al  0.271  0.271  0.949
Al  0.729  0.729  0.051
Al  0.952  0.952  0.611
Sn  0.384  0.384  0.721
Sn  0.616  0.616  0.279

## Properties
**D(E_F)**: 3.51 states/eV per cell

=====

VASP calculation (PBE) on an optimized crystal structure of Ac5Al2Sn.

a = 9.893 Å, b = 9.893 Å, c = 9.893 Å
α = 128.68°, β = 128.68°, γ = 75.52°
Sites, in units of the cell vectors:
Ac  0.000  0.000  0.000
Ac  0.024  0.524  0.843
Ac  0.181  0.024  0.500
Ac  0.319  0.819  0.843
Ac  0.476  0.319  0.500
Ac  0.500  0.500  0.000
Ac  0.524  0.681  0.500
Ac  0.681  0.181  0.157
Ac  0.819  0.976  0.500
Ac  0.976  0.476  0.157
Al  0.114  0.386  0.500
Al  0.386  0.886  0.271
Al  0.614  0.114  0.729
Al  0.886  0.614  0.500
Sn  0.250  0.250  0.000
Sn  0.750  0.750  0.000

## Properties
**D(E_F)**: 16.05 states/eV per cell

=====

VASP calculation (PBE) on an optimized crystal structure of Ac2Al3Sn4.

a = 8.846 Å, b = 8.846 Å, c = 8.829 Å
α = 90.00°, β = 90.00°, γ = 136.16°
Sites, in units of the cell vectors:
Ac  0.116  0.884  0.918
Ac  0.384  0.616  0.418
Ac  0.616  0.384  0.582
Ac  0.884  0.116  0.082
Al  0.000  0.000  0.500
Al  0.031  0.469  0.750
Al  0.469  0.031  0.250
Al  0.500  0.500  0.000
Al  0.531  0.969  0.750
Al  0.969  0.531  0.250
Sn  0.185  0.815  0.546
Sn  0.200  0.300  0.750
Sn  0.300  0.200  0.250
Sn  0.315  0.685  0.046
Sn  0.685  0.315  0.954
Sn  0.700  0.800  0.750
Sn  0.800  0.700  0.250
Sn  0.815  0.185  0.454

## Properties
**D(E_F)**: 7.03 states/eV per cell

=====

VASP calculation (PBE) on an optimized crystal structure of Ac3AlSn4.

a = 5.093 Å, b = 6.602 Å, c = 16.868 Å
α = 90.00°, β = 90.00°, γ = 90.00°
Sites, in units of the cell vectors:
Ac  0.000  0.000  0.000
Ac  0.000  0.500  0.190
Ac  0.000  0.500  0.810
Ac  0.500  0.000  0.310
Ac  0.500  0.000  0.690
Ac  0.500  0.500  0.500
Al  0.000  0.000  0.500
Al  0.500  0.500  0.000
Sn  0.000  0.283  0.377
Sn  0.000  0.283  0.623
Sn  0.000  0.717  0.377
Sn  0.000  0.717  0.623
Sn  0.500  0.217  0.123
Sn  0.500  0.217  0.877
Sn  0.500  0.783  0.123
Sn  0.500  0.783  0.877

## Properties
**D(E_F)**: 6.59 states/eV per cell

=====

VASP calculation (PBE) on an optimized crystal structure of Ac5Al2Sn5.

a = 8.764 Å, b = 8.764 Å, c = 13.001 Å
α = 128.46°, β = 128.46°, γ = 30.94°
Sites, in units of the cell vectors:
Ac  0.000  0.000  0.000
Ac  0.314  0.314  0.424
Ac  0.371  0.371  0.170
Ac  0.629  0.629  0.830
Ac  0.686  0.686  0.576
Al  0.385  0.385  0.744
Al  0.615  0.615  0.256
Sn  0.000  0.000  0.500
Sn  0.064  0.064  0.317
Sn  0.291  0.291  0.852
Sn  0.709  0.709  0.148
Sn  0.936  0.936  0.683

## Properties
**D(E_F)**: 6.67 states/eV per cell

=====

VASP calculation (PBE) on an optimized crystal structure of Ac4AlSn8.

a = 4.586 Å, b = 4.799 Å, c = 18.550 Å
α = 90.00°, β = 90.00°, γ = 90.00°
Sites, in units of the cell vectors:
Ac  0.000  0.000  0.000
Ac  0.000  0.500  0.489
Ac  0.500  0.000  0.790
Ac  0.500  0.500  0.285
Al  0.000  0.500  0.717
Sn  0.000  0.000  0.333
Sn  0.000  0.000  0.633
Sn  0.000  0.500  0.137
Sn  0.000  0.500  0.861
Sn  0.500  0.000  0.147
Sn  0.500  0.000  0.438
Sn  0.500  0.500  0.632
Sn  0.500  0.500  0.966

## Properties
**D(E_F)**: 5.05 states/eV per cell

=====

Number 1: calculated total energy -4.442 eV/atom, calculated formation energy -11.99 kcal/mol of atoms. Number 2: calculated total energy -4.355 eV/atom, calculated formation energy -8.11 kcal/mol of atoms. Number 3: calculated total energy -4.318 eV/atom, calculated formation energy -8.73 kcal/mol of atoms. Number 4: calculated total energy -4.448 eV/atom, calculated formation energy -10.11 kcal/mol of atoms. Number 5: calculated total energy -4.614 eV/atom, calculated formation energy -14.08 kcal/mol of atoms. Number 6: calculated total energy -4.560 eV/atom, calculated formation energy -12.55 kcal/mol of atoms.